Entry 1:
The following is a PBEsol calculation of an optimized crystal structure of BaPtW2, from Alexandria via LeMat-Bulk. Values from VASP.

Summary:
V = 83.0 Å³/cell
uncorrected energy = -8.723 eV per atom
formation enthalpy at 0 K = 0.46 eV/atom

The structure in Quantum ESPRESSO input format:
```
&SYSTEM
  ibrav = 0, nat = 4, ntyp = 3
/
ATOMIC_SPECIES
W 183.84 W.upf
Pt 195.08 Pt.upf
Ba 137.33 Ba.upf
CELL_PARAMETERS angstrom
3.231 0.000 0.000
0.000 3.231 0.000
0.000 0.000 7.955
ATOMIC_POSITIONS angstrom
W 0.000 0.000 0.083
W 1.615 1.615 1.368
Pt 1.615 1.615 6.448
Ba 0.000 0.000 4.034
```

Entry 2:
The following is a PBEsol calculation of an optimized crystal structure of Bi2O3, from Alexandria via LeMat-Bulk. Values from VASP.

Summary:
V = 304.0 Å³/cell
formation energy (no corrections) = -1.21 eV per atom
uncorrected energy = -6.071 eV per atom

The structure in Quantum ESPRESSO input format:
```
&SYSTEM
  ibrav = 0, nat = 20, ntyp = 2
/
ATOMIC_SPECIES
Bi 208.98 Bi.upf
O 16.00 O.upf
CELL_PARAMETERS angstrom
5.981 0.000 0.000
0.000 7.660 0.000
0.000 -3.830 6.634
ATOMIC_POSITIONS angstrom
Bi 1.504 0.149 2.334
Bi 1.504 -1.884 5.339
Bi 1.504 1.735 5.596
Bi 4.494 3.979 4.301
Bi 4.494 1.947 1.295
Bi 4.494 5.565 1.038
Bi 1.577 3.830 2.211
Bi 4.568 0.000 4.423
O 3.288 1.380 3.354
O 3.288 -1.615 3.762
O 3.288 0.235 6.152
O 0.297 5.210 3.280
O 0.297 2.215 2.872
O 0.297 4.065 0.482
O 2.210 3.775 4.931
O 2.210 6.213 0.900
O 2.210 1.503 0.803
O 5.201 -0.056 1.703
O 5.201 2.383 5.735
O 5.201 -2.328 5.831
```

Entry 3:
The following is a PBEsol calculation of an optimized crystal structure of TaTcRu2, from Alexandria via LeMat-Bulk. Values from VASP.

Summary:
V = 58.7 Å³/cell
uncorrected energy = -10.932 eV per atom
formation enthalpy at 0 K = 0.11 eV/atom

The structure in Quantum ESPRESSO input format:
```
&SYSTEM
  ibrav = 0, nat = 4, ntyp = 3
/
ATOMIC_SPECIES
Ru 101.07 Ru.upf
Ta 180.95 Ta.upf
Tc 98.00 Tc.upf
CELL_PARAMETERS angstrom
3.227 0.000 0.000
0.000 3.227 0.000
0.000 0.000 5.639
ATOMIC_POSITIONS angstrom
Ru 0.000 0.000 4.186
Ru 0.000 0.000 1.453
Ta 1.614 1.614 0.000
Tc 1.614 1.614 2.820
```

Entry 4:
The following is a PBEsol calculation of an optimized crystal structure of Mg3NbRu, from Alexandria via LeMat-Bulk. Values from VASP.

Summary:
V = 132.5 Å³/cell
uncorrected energy = -3.199 eV per atom
formation enthalpy at 0 K = 2.03 eV/atom

The structure in Quantum ESPRESSO input format:
```
&SYSTEM
  ibrav = 0, nat = 5, ntyp = 3
/
ATOMIC_SPECIES
Ru 101.07 Ru.upf
Nb 92.91 Nb.upf
Mg 24.30 Mg.upf
CELL_PARAMETERS angstrom
5.098 0.000 0.000
0.000 5.098 0.000
0.000 0.000 5.098
ATOMIC_POSITIONS angstrom
Ru 2.549 2.549 2.549
Nb 0.000 0.000 0.000
Mg 0.000 2.549 0.000
Mg 0.000 0.000 2.549
Mg 2.549 0.000 0.000
```

Entry 5:
The following is a PBEsol calculation of an optimized crystal structure of Cu4AgAu, from Alexandria via LeMat-Bulk. Values from VASP.

Summary:
V = 79.1 Å³/cell
uncorrected energy = -4.058 eV per atom
formation enthalpy at 0 K = 0.04 eV/atom

The structure in Quantum ESPRESSO input format:
```
&SYSTEM
  ibrav = 0, nat = 6, ntyp = 3
/
ATOMIC_SPECIES
Ag 107.87 Ag.upf
Au 196.97 Au.upf
Cu 63.55 Cu.upf
CELL_PARAMETERS angstrom
-0.739 3.537 3.186
-3.587 3.144 -0.680
-3.873 -0.107 2.864
ATOMIC_POSITIONS angstrom
Ag -2.049 1.643 1.343
Au 0.000 0.000 0.000
Cu -3.187 4.162 1.925
Cu -4.754 2.340 1.764
Cu -3.330 2.537 3.696
Cu -5.123 4.109 3.357
```

Entry 6:
The following is a PBEsol calculation of an optimized crystal structure of Zn2NiAs, from Alexandria via LeMat-Bulk. Values from VASP.

Summary:
V = 56.1 Å³/cell
uncorrected energy = -3.576 eV per atom
formation enthalpy at 0 K = 0.03 eV/atom

The structure in Quantum ESPRESSO input format:
```
&SYSTEM
  ibrav = 0, nat = 4, ntyp = 3
/
ATOMIC_SPECIES
As 74.92 As.upf
Ni 58.69 Ni.upf
Zn 65.41 Zn.upf
CELL_PARAMETERS angstrom
-1.136 2.067 -1.510
-0.558 -2.945 -3.050
-3.377 -0.590 4.047
ATOMIC_POSITIONS angstrom
As 0.000 0.000 0.000
Ni -0.847 -0.439 -2.280
Zn -1.688 -0.295 2.024
Zn -2.535 -0.734 -0.256
```